An optimized crystal structure of Pr3SmY6Th2, computed with GGA-PBE.

CIF file:
```
data_Pr3SmY6Th2
_symmetry_space_group_name_H-M 'P 1'
_symmetry_Int_Tables_number 1
_cell_length_a 6.272
_cell_length_b 6.272
_cell_length_c 11.866
_cell_angle_alpha 95.07
_cell_angle_beta 95.07
_cell_angle_gamma 119.98
loop_
_symmetry_equiv_pos_as_xyz
'x,y,z'
loop_
_atom_site_label
_atom_site_fract_x
_atom_site_fract_y
_atom_site_fract_z
Pr1 0.166 0.834 0.500
Pr2 0.834 0.166 0.500
Pr3 0.500 0.500 0.500
Sm1 0.000 0.000 0.000
Y1 0.918 0.580 0.756
Y2 0.743 0.743 0.244
Y3 0.082 0.420 0.244
Y4 0.580 0.918 0.756
Y5 0.257 0.257 0.756
Y6 0.420 0.082 0.244
Th1 0.333 0.667 0.000
Th2 0.667 0.333 0.000
```

Summary:
Its space group is C2/m, No. 12. The calculation puts the energy of formation from the pure elements at 0.020 eV per atom. Its energy is -6.0363 eV/atom. The calculation puts the mass density at 6.55 Mg/m³.